A plane-wave DFT calculation with GGA+U was carried out for crystalline LiCo8O16 at its relaxed geometry. Values from VASP.

Summary:
Symmetry = P-1, No. 2
Energy = -0.4187 Ry per atom
Size of the total moment = 1.000 μB per formula unit

Geometry as Quantum ESPRESSO input:
```
&SYSTEM
  ibrav = 0, nat = 25, ntyp = 3
/
ATOMIC_SPECIES
Li 6.94 Li.upf
Co 58.93 Co.upf
O 16.00 O.upf
ATOMIC_POSITIONS crystal
Li 0.0000 0.5000 0.5000
Co 0.8145 0.1862 0.0618
Co 0.3166 0.6928 0.5597
Co 0.5578 0.4336 0.8154
Co 0.1855 0.8138 0.9382
Co 0.0673 0.9415 0.3102
Co 0.6834 0.3072 0.4403
Co 0.9327 0.0585 0.6898
Co 0.4422 0.5664 0.1846
O 0.2516 0.5601 0.8246
O 0.7577 0.0549 0.3250
O 0.3750 0.8216 0.2974
O 0.0073 0.8020 0.5713
O 0.8706 0.3182 0.7946
O 0.6250 0.1784 0.7026
O 0.5028 0.3083 0.0772
O 0.1240 0.0688 0.0467
O 0.1294 0.6818 0.2054
O 0.7484 0.4399 0.1754
O 0.6293 0.5628 0.5504
O 0.3707 0.4372 0.4496
O 0.2423 0.9451 0.6750
O 0.8760 0.9312 0.9533
O 0.4972 0.6917 0.9228
O 0.9927 0.1980 0.4287
CELL_PARAMETERS angstrom
6.6153 0.0157 -0.0131
2.3260 6.1298 -0.0017
3.0412 0.8306 6.8016
```